1.
A plane-wave DFT calculation with SCAN was carried out for a PBEsol-optimized structure of BeAl2Ni.

Results
Energy of formation   -0.25 eV/atom
Electronic total energy   -9.261 eV/atom

a b c (Å): 3.0041 3.0041 5.2980
angles (deg): 90.00 90.00 90.00
Space group P4mm (No. 99)
Inequivalent atoms, fractional coordinates:
Be (0.0000, 0.0000, 0.0000)
Al (0.0000, 0.0000, 0.4522)
Al (0.5000, 0.5000, 0.7594)
Ni (0.5000, 0.5000, 0.2132)


2.
A plane-wave DFT calculation with SCAN was carried out for a PBEsol-optimized structure of AlHSe2.

Results
Offset from the most stable computed form   0 meV per atom
Electronic total energy   -13.451 eV/atom

a b c (Å): 5.3246 6.0787 5.3299
angles (deg): 90.00 90.05 90.00
Space group Pm (No. 6)
Inequivalent atoms, fractional coordinates:
Al (0.0000, 0.2501, 0.0000)
H (0.0268, 0.0000, 0.5243)
H (0.5347, 0.5000, 0.9456)
Se (0.2420, 0.0000, 0.7316)
Se (0.2581, 0.5000, 0.2266)
Se (0.7504, 0.5000, 0.7388)
Se (0.7533, 0.0000, 0.2379)


3.
A plane-wave DFT calculation with SCAN was carried out for a PBEsol-optimized structure of Mg2Au.

Results
Energy of formation   -0.68 eV/atom
Electronic total energy   -27.051 eV/atom

a b c (Å): 7.1636 7.1636 3.9411
angles (deg): 90.00 90.00 120.00
Space group P-62m (No. 189)
Inequivalent atoms, fractional coordinates:
Mg (0.0000, 0.4051, 0.0000)
Mg (0.0000, 0.7433, 0.5000)
Au (0.0000, 0.0000, 0.0000)
Au (0.3333, 0.6667, 0.5000)


4.
A plane-wave DFT calculation with SCAN was carried out for a PBEsol-optimized structure of CoTcAu2.

Results
Energy of formation   0.30 eV/atom
Offset from the most stable computed form   0 meV per atom
Electronic total energy   -47.365 eV/atom

a b c (Å): 6.2055 6.2055 6.2055
angles (deg): 90.00 90.00 90.00
Space group F-43m (No. 216)
Inequivalent atoms, fractional coordinates:
Co (0.0000, 0.0000, 0.0000)
Tc (0.2500, 0.2500, 0.2500)
Au (0.0000, 0.0000, 0.5000)
Au (0.2500, 0.2500, 0.7500)


5.
A plane-wave DFT calculation with SCAN was carried out for a PBEsol-optimized structure of Pb3W2.

Results
Energy of formation   0.94 eV/atom
Electronic total energy   -72.401 eV/atom

a b c (Å): 4.8527 4.8527 5.6822
angles (deg): 90.00 90.00 120.00
Space group P-3m1 (No. 164)
Inequivalent atoms, fractional coordinates:
Pb (0.0000, 0.0000, 0.0000)
Pb (0.3333, 0.6667, 0.4018)
W (0.3333, 0.6667, 0.9182)


6.
A plane-wave DFT calculation with SCAN was carried out for a PBEsol-optimized structure of SiH2Rh2.

Results
Offset from the most stable computed form   0 meV per atom
Electronic total energy   -17.257 eV/atom

a b c (Å): 2.9135 2.9135 10.5349
angles (deg): 90.00 90.00 90.00
Space group I4/mmm (No. 139)
Inequivalent atoms, fractional coordinates:
Si (0.0000, 0.0000, 0.0000)
H (0.0000, 0.5000, 0.2500)
Rh (0.0000, 0.0000, 0.3674)


7.
A plane-wave DFT calculation with SCAN was carried out for a PBEsol-optimized structure of Co2TeRh.

Results
Formation energy without anion corrections   0.91 eV/f.u.
Electronic total energy   -26.181 eV/atom

a b c (Å): 3.0017 3.4520 5.3895
angles (deg): 90.00 90.00 90.00
Space group Pmm2 (No. 25)
Inequivalent atoms, fractional coordinates:
Co (0.0000, 0.0000, 0.0000)
Co (0.5000, 0.5000, 0.1963)
Te (0.5000, 0.5000, 0.7281)
Rh (0.0000, 0.0000, 0.4581)


8.
A plane-wave DFT calculation with SCAN was carried out for a PBEsol-optimized structure of LaAs3F.

Results
Formation energy without anion corrections   -3.59 eV/f.u.
Electronic total energy   -22.161 eV/atom

a b c (Å): 4.6072 4.6072 4.6072
angles (deg): 90.00 90.00 90.00
Space group Pm-3m (No. 221)
Inequivalent atoms, fractional coordinates:
La (0.0000, 0.0000, 0.0000)
As (0.0000, 0.5000, 0.5000)
F (0.5000, 0.5000, 0.5000)


9.
A plane-wave DFT calculation with SCAN was carried out for a PBEsol-optimized structure of Na3FeAu.

Results
Energy of formation   0.60 eV/atom
Electronic total energy   -19.382 eV/atom

a b c (Å): 5.4048 5.4048 5.4048
angles (deg): 90.00 90.00 90.00
Space group Pm-3m (No. 221)
Inequivalent atoms, fractional coordinates:
Na (0.0000, 0.0000, 0.5000)
Fe (0.5000, 0.5000, 0.5000)
Au (0.0000, 0.0000, 0.0000)


10.
A plane-wave DFT calculation with SCAN was carried out for a PBEsol-optimized structure of BaHgTeN2.

Results
Offset from the most stable computed form   375 meV per atom
Formation energy without anion corrections   6.18 eV/f.u.
Electronic total energy   -31.474 eV/atom

a b c (Å): 4.9947 4.9947 6.9821
angles (deg): 90.00 90.00 90.00
Space group P4/mmm (No. 123)
Inequivalent atoms, fractional coordinates:
Ba (0.0000, 0.0000, 0.0000)
Hg (0.5000, 0.5000, 0.5000)
Te (0.0000, 0.0000, 0.5000)
N (0.0000, 0.5000, 0.0000)


11.
A plane-wave DFT calculation with SCAN was carried out for a PBEsol-optimized structure of AlRhOF2.

Results
Formation energy without anion corrections   -9.94 eV/f.u.
Electronic total energy   -12.955 eV/atom

a b c (Å): 3.7494 3.7494 3.6959
angles (deg): 90.00 90.00 90.00
Space group P4/mmm (No. 123)
Inequivalent atoms, fractional coordinates:
Al (0.0000, 0.0000, 0.0000)
Rh (0.5000, 0.5000, 0.5000)
O (0.0000, 0.0000, 0.5000)
F (0.0000, 0.5000, 0.0000)


12.
A plane-wave DFT calculation with SCAN was carried out for a PBEsol-optimized structure of SrCoSe.

Results
Formation energy without anion corrections   -0.36 eV/f.u.
Electronic total energy   -20.007 eV/atom

a b c (Å): 6.5175 6.5175 6.5175
angles (deg): 90.00 90.00 90.00
Space group F-43m (No. 216)
Inequivalent atoms, fractional coordinates:
Sr (0.0000, 0.0000, 0.0000)
Co (0.0000, 0.0000, 0.5000)
Se (0.2500, 0.2500, 0.2500)